Material: LiCe2As3Ir4
Method: DFT, PBE-GGA
State: optimized geometry

Output
Calculated density: 11.85 Mg/m³
Energy relative to the elements: -0.756 eV per atom

a = 4.0619 Å, b = 4.0619 Å, c = 10.8797 Å
α = 90.00°, β = 90.00°, γ = 90.00°
Space group P-4m2 (No. 115)
Symmetry-distinct sites (fractional):
Li 0.0000 0.0000 0.0000 x1
Ce 0.0000 0.5000 0.7541 x2
As 0.0000 0.5000 0.3668 x2
As 0.5000 0.5000 0.0000 x1
Ir 0.0000 0.0000 0.5000 x1
Ir 0.0000 0.5000 0.1461 x2
Ir 0.5000 0.5000 0.5000 x1